Record 1
NbGeAsBr2 at its PBEsol-relaxed geometry, computed with meta-GGA SCAN.

```
data_NbGeAsBr2
_chemical_formula_sum 'Nb1 Ge1 As1 Br2'
_cell_length_a 4.991
_cell_length_b 4.991
_cell_length_c 5.026
_cell_angle_alpha 90.00
_cell_angle_beta 90.00
_cell_angle_gamma 90.00
_space_group_name_H-M_alt 'P 4/m m m'
_space_group_IT_number 123
_space_group_name_Hall '-P 4 2'
loop_
_atom_site_label
_atom_site_fract_x
_atom_site_fract_y
_atom_site_fract_z
Nb1 0.000 0.000 0.000
Ge1 0.500 0.500 0.500
As1 0.500 0.500 0.000
Br1 0.000 0.500 0.500
```

Total energy in eV per cell: -107.6
ΔE_f (raw) in eV/atom: 0.75
Mass density in Mg/m³: 5.31
Total magnetic moment in μB per formula unit: 2.571

Record 2
GeAsSeBr2 at its PBEsol-relaxed geometry, computed with meta-GGA SCAN.

```
data_GeAsSeBr2
_chemical_formula_sum 'Ge1 As1 Se1 Br2'
_cell_length_a 5.118
_cell_length_b 5.118
_cell_length_c 5.100
_cell_angle_alpha 90.00
_cell_angle_beta 90.00
_cell_angle_gamma 90.00
_space_group_name_H-M_alt 'P 4/m m m'
_space_group_IT_number 123
_space_group_name_Hall '-P 4 2'
loop_
_atom_site_label
_atom_site_fract_x
_atom_site_fract_y
_atom_site_fract_z
Ge1 0.000 0.000 0.000
As1 0.500 0.500 0.500
Se1 0.500 0.500 0.000
Br1 0.000 0.500 0.500
```

Total energy in eV per cell: -96.6
ΔE_f (raw) in eV/atom: 0.33
Mass density in Mg/m³: 4.80
Total magnetic moment in μB per formula unit: 0.673

Record 3
GeAs2SeBr at its PBEsol-relaxed geometry, computed with meta-GGA SCAN.

```
data_GeAs2SeBr
_chemical_formula_sum 'Ge1 As2 Se1 Br1'
_cell_length_a 5.046
_cell_length_b 5.046
_cell_length_c 4.987
_cell_angle_alpha 90.00
_cell_angle_beta 90.00
_cell_angle_gamma 90.00
_space_group_name_H-M_alt 'P 4/m m m'
_space_group_IT_number 123
_space_group_name_Hall '-P 4 2'
loop_
_atom_site_label
_atom_site_fract_x
_atom_site_fract_y
_atom_site_fract_z
Ge1 0.000 0.000 0.000
As1 0.000 0.500 0.500
Se1 0.500 0.500 0.000
Br1 0.500 0.500 0.500
```

Total energy in eV per cell: -92.8
ΔE_f (raw) in eV/atom: 1.25
Mass density in Mg/m³: 4.99
Total magnetic moment in μB per formula unit: 0.000

- The lowest ΔE_f (raw) belongs to which entry?
  GeAsSeBr2

- Which formula does entry 2 have?
  GeAsSeBr2